[1]
DFT (GGA-PBE) results for an optimized crystal structure of RbTlFeBr5.

CIF file:
```
data_RbTlFeBr5
_symmetry_space_group_name_H-M 'P 1'
_symmetry_Int_Tables_number 1
_cell_length_a 10.070
_cell_length_b 10.070
_cell_length_c 8.356
_cell_angle_alpha 111.54
_cell_angle_beta 111.54
_cell_angle_gamma 101.75
loop_
_symmetry_equiv_pos_as_xyz
'x,y,z'
loop_
_atom_site_label
_atom_site_type_symbol
_atom_site_fract_x
_atom_site_fract_y
_atom_site_fract_z
Rb1 Rb 0.000 0.500 0.000
Rb2 Rb 0.500 0.000 0.500
Tl1 Tl 0.089 0.911 0.750
Tl2 Tl 0.911 0.089 0.250
Fe1 Fe 0.386 0.614 0.750
Fe2 Fe 0.614 0.386 0.250
Br1 Br 0.101 0.899 0.250
Br2 Br 0.270 0.684 0.507
Br3 Br 0.284 0.344 0.617
Br4 Br 0.316 0.730 0.993
Br5 Br 0.344 0.284 0.117
Br6 Br 0.656 0.716 0.883
Br7 Br 0.684 0.270 0.007
Br8 Br 0.716 0.656 0.383
Br9 Br 0.730 0.316 0.493
Br10 Br 0.899 0.101 0.750
```

Results
* formation energy from raw total energies: -7.2 eV per formula unit
* space-group type: C2/c (15)
* VASP energy: -3.4156 eV per atom


[2]
DFT (GGA-PBE) results for an optimized crystal structure of RbZrH2F8.

CIF file:
```
data_RbZrH2F8
_symmetry_space_group_name_H-M 'P 1'
_symmetry_Int_Tables_number 1
_cell_length_a 4.768
_cell_length_b 4.787
_cell_length_c 8.802
_cell_angle_alpha 89.69
_cell_angle_beta 89.69
_cell_angle_gamma 66.03
loop_
_symmetry_equiv_pos_as_xyz
'x,y,z'
loop_
_atom_site_label
_atom_site_type_symbol
_atom_site_fract_x
_atom_site_fract_y
_atom_site_fract_z
Rb1 Rb 0.000 0.000 0.000
Zr1 Zr 0.000 0.000 0.500
H1 H 0.499 0.499 0.679
H2 H 0.501 0.501 0.321
F1 F 0.246 0.245 0.500
F2 F 0.277 0.721 0.675
F3 F 0.279 0.724 0.325
F4 F 0.374 0.375 0.002
F5 F 0.626 0.625 0.998
F6 F 0.721 0.276 0.675
F7 F 0.723 0.279 0.325
F8 F 0.754 0.755 0.500
```

Results
* space-group type: P-1 (2)
* VASP energy: -5.0371 eV per atom


no.,theoretical density (Mg/m³)
1,3.67
2,2.99